# InRu2Rh2 (PBE, optimized geometry)
data_InRu2Rh2
_space_group_name_H-M_alt 'P 4/m b m'
_space_group_IT_number 127
_space_group_name_Hall '-P 4 2ab'
_cell_length_a 7.540
_cell_length_b 7.540
_cell_length_c 2.814
_cell_angle_alpha 90.00
_cell_angle_beta 90.00
_cell_angle_gamma 90.00
loop_
_atom_site_label
_atom_site_type_symbol
_atom_site_fract_x
_atom_site_fract_y
_atom_site_fract_z
In1 In 0.000 0.000 0.000
Ru1 Ru 0.120 0.380 0.000
Rh1 Rh 0.175 0.675 0.500
# ΔE_f, eV per atom: 0.2338
# Uncorrected energy, eV per cell: -69.65
# N(E_F), states/eV/cell: 12.56